The following is a DFT calculation (PBE) of an optimized crystal structure of Y4Er3Tm.

Cell and atoms, written as POSCAR:
```
Y4Er3Tm
1.0
11.191 0.000 0.000
0.000 7.243 0.000
0.000 0.000 6.256
Y Er Tm
8 6 2
Direct
0.000 0.127 0.000 Y
0.000 0.873 0.500 Y
0.250 0.127 0.337 Y
0.250 0.873 0.837 Y
0.500 0.127 0.000 Y
0.500 0.873 0.500 Y
0.750 0.127 0.337 Y
0.750 0.873 0.837 Y
0.000 0.377 0.503 Er
0.250 0.377 0.833 Er
0.250 0.623 0.333 Er
0.500 0.623 0.003 Er
0.750 0.377 0.833 Er
0.750 0.623 0.333 Er
0.000 0.623 0.003 Tm
0.500 0.377 0.503 Tm
```

Results
* space-group type: Pmn2_1

***

The following is a DFT calculation (PBE) of an optimized crystal structure of YEr7Tm12.

Cell and atoms, written as POSCAR:
```
YEr7Tm12
1.0
6.317 3.647 4.480
-6.317 3.647 4.480
0.000 -7.294 4.480
Y Er Tm
1 7 12
Direct
0.000 0.000 0.000 Y
0.021 0.084 0.354 Er
0.084 0.354 0.021 Er
0.354 0.021 0.084 Er
0.500 0.500 0.500 Er
0.646 0.979 0.916 Er
0.916 0.646 0.979 Er
0.979 0.916 0.646 Er
0.149 0.418 0.481 Tm
0.186 0.749 0.314 Tm
0.251 0.686 0.814 Tm
0.314 0.186 0.749 Tm
0.418 0.481 0.149 Tm
0.481 0.149 0.418 Tm
0.519 0.851 0.582 Tm
0.582 0.519 0.851 Tm
0.686 0.814 0.251 Tm
0.749 0.314 0.186 Tm
0.814 0.251 0.686 Tm
0.851 0.582 0.519 Tm
```

Results
* space-group type: R-3

***

no.,offset from the most stable computed form (eV/atom)
1,0.000
2,0.000